La2PmNd3: relaxed, GGA-PBE.

Offset from the most stable computed form (eV per atom): 0.000
Energy relative to the elements (meV/atom): 58
Density (g cm⁻³): 6.57
Final energy (eV per atom): -4.760

abc: 9.9691 3.6428 11.9311
angles: 90.00 93.12 90.00
With the nearest neighbours (Å) after each atom.
Space group P2_1/m (No. 11)
One atom of each set of equivalent atoms:
La1 0.0588 0.2500 0.3614 (multiplicity 2)  6 Nd 3.63-3.84, 4 La 3.64-4.01, 2 Pm 3.82
La2 0.4160 0.7500 0.8793 (multiplicity 2)  5 Nd 3.57-3.67, 3 Pm 3.60-3.76, 4 La 3.64-3.73
Pm1 0.2567 0.7500 0.1429 (multiplicity 2)  5 Nd 3.55-3.73, 5 La 3.60-3.82, 2 Pm 3.64
Nd1 0.0984 0.2500 0.8974 (multiplicity 2)  3 Pm 3.55-3.73, 5 Nd 3.58-3.70, 4 La 3.67-3.84
Nd2 0.2658 0.2500 0.6399 (multiplicity 2)  6 Nd 3.54-3.64, 5 La 3.64-3.81
Nd3 0.4232 0.2500 0.3805 (multiplicity 2)  7 Nd 3.54-3.65, 2 La 3.57-3.63, 2 Pm 3.69